# Ru2SF

A relaxed structure of Ru2SF (PBE, Alexandria).

Cell lengths 4.0798, 4.0798, 4.0798 Å; angles 60.00, 60.00, 60.00 degrees
Fractional coordinates of all 4 atoms:
1 Ru 0.7500 0.7500 0.7500
2 S 0.5000 0.5000 0.5000
3 F 0.0000 0.0000 0.0000
4 Ru 0.2500 0.2500 0.2500

Properties
The electronic total energy comes out at -6.213 eV/atom. The value obtained for the theoretical density is 8.76 g/cm³. The value obtained for the total magnetization is 0.00 μB per cell. The excess energy over the best structure of this formula in the dataset is 0.0 meV per atom.

=====

# RbPr2Ir

A relaxed structure of RbPr2Ir (PBE, Alexandria).

Cell lengths 4.2898, 4.2898, 11.8444 Å; angles 79.57, 79.57, 60.00 degrees
Fractional coordinates of all 4 atoms:
1 Ir 0.5000 0.5000 0.5000
2 Pr 0.8750 0.8750 0.3750
3 Pr 0.1250 0.1250 0.6250
4 Rb 0.0000 0.0000 0.0000

Properties
The electronic total energy comes out at -5.102 eV/atom. The value obtained for the theoretical density is 5.03 g/cm³. The value obtained for the total magnetization is 0.00 μB per cell. Its energy of formation from the pure elements is -254.8 meV/atom.

=====

# CrPbI2N

A relaxed structure of CrPbI2N (PBE, Alexandria).

Cell lengths 6.1283, 6.1283, 4.3448 Å; angles 90.00, 90.00, 90.00 degrees
Fractional coordinates of all 5 atoms:
1 Pb 0.0000 0.0000 0.0000
2 I 0.5000 0.0000 0.0000
3 I 0.0000 0.5000 0.0000
4 Cr 0.5000 0.5000 0.5000
5 N 0.0000 0.0000 0.5000

Properties
The electronic total energy comes out at -3.328 eV/atom. The value obtained for the theoretical density is 5.36 g/cm³. The value obtained for the total magnetization is 0.63 μB per cell.

=====

# Na12Cd7Au

A relaxed structure of Na12Cd7Au (PBE, Alexandria).

Cell lengths 8.4159, 8.4159, 8.4159 Å; angles 103.00, 103.00, 103.00 degrees
Fractional coordinates of all 20 atoms:
1 Na 0.0774 0.3236 0.3219
2 Na 0.5008 0.2357 0.7648
3 Cd 0.0833 0.0824 0.6874
4 Cd 0.5000 0.5000 0.5000
5 Na 0.6764 0.6781 0.9226
6 Cd 0.9167 0.9176 0.3126
7 Na 0.3236 0.3219 0.0774
8 Cd 0.9176 0.3126 0.9167
9 Na 0.6781 0.9226 0.6764
10 Cd 0.6874 0.0833 0.0824
11 Na 0.2357 0.7648 0.5008
12 Na 0.9226 0.6764 0.6781
13 Au 0.0000 0.0000 0.0000
14 Na 0.7648 0.5008 0.2357
15 Na 0.2352 0.4992 0.7643
16 Cd 0.0824 0.6874 0.0833
17 Na 0.3219 0.0774 0.3236
18 Cd 0.3126 0.9167 0.9176
19 Na 0.7643 0.2352 0.4992
20 Na 0.4992 0.7643 0.2352

Properties
The electronic total energy comes out at -1.360 eV/atom. The value obtained for the theoretical density is 3.86 g/cm³. The value obtained for the total magnetization is 0.00 μB per cell. Its energy of formation from the pure elements is -84.4 meV/atom.

=====

# K2YOs

A relaxed structure of K2YOs (PBE, Alexandria).

Cell lengths 5.4233, 5.4233, 5.4233 Å; angles 60.00, 60.00, 60.00 degrees
Fractional coordinates of all 4 atoms:
1 Os 0.5000 0.5000 0.5000
2 K 0.7500 0.7500 0.7500
3 Y 0.0000 0.0000 0.0000
4 K 0.2500 0.2500 0.2500

Properties
The electronic total energy comes out at -3.390 eV/atom. The value obtained for the theoretical density is 5.26 g/cm³. The value obtained for the total magnetization is 0.00 μB per cell. The excess energy over the best structure of this formula in the dataset is 1080.7 meV per atom. Its energy of formation from the pure elements is 1582.2 meV/atom.

=====

# Er3InP2Rh9

A relaxed structure of Er3InP2Rh9 (PBE, Alexandria).

Cell lengths 6.0280, 6.0280, 9.4555 Å; angles 90.00, 90.00, 120.00 degrees
Fractional coordinates of all 15 atoms:
1 In 0.0000 0.0000 0.5000
2 Er 0.3333 0.6667 0.7375
3 P 0.3333 0.6667 0.1585
4 Rh 0.1479 0.2958 0.2608
5 Er 0.0000 0.0000 0.0000
6 Rh 0.5000 0.0000 0.0000
7 Rh 0.5000 0.5000 0.0000
8 Rh 0.1479 0.8521 0.2608
9 P 0.6667 0.3333 0.8415
10 Rh 0.8521 0.1479 0.7392
11 Rh 0.2958 0.1479 0.7392
12 Er 0.6667 0.3333 0.2625
13 Rh 0.7042 0.8521 0.2608
14 Rh 0.8521 0.7042 0.7392
15 Rh 0.0000 0.5000 0.0000

Properties
The electronic total energy comes out at -6.856 eV/atom. The value obtained for the theoretical density is 8.96 g/cm³. The value obtained for the total magnetization is 0.00 μB per cell. Its energy of formation from the pure elements is -628.7 meV/atom.

=====

# CaAc2NdSe4

A relaxed structure of CaAc2NdSe4 (PBE, Alexandria).

Cell lengths 4.3194, 7.5386, 7.5436 Å; angles 70.88, 90.00, 90.00 degrees
Fractional coordinates of all 8 atoms:
1 Ca 0.5000 0.5000 0.0000
2 Nd 0.0000 0.5000 0.5000
3 Se 0.0000 0.7306 0.7600
4 Se 0.0000 0.2694 0.2400
5 Ac 0.5000 0.0000 0.5000
6 Se 0.5000 0.2677 0.7486
7 Ac 0.0000 0.0000 0.0000
8 Se 0.5000 0.7323 0.2514

Properties
The electronic total energy comes out at -5.490 eV/atom. The value obtained for the theoretical density is 6.83 g/cm³. The value obtained for the total magnetization is 0.00 μB per cell.

=====

# Cs2SmHCl6

A relaxed structure of Cs2SmHCl6 (PBE, Alexandria).

Cell lengths 7.4594, 7.4545, 8.5423 Å; angles 54.98, 54.97, 71.69 degrees
Fractional coordinates of all 10 atoms:
1 Cl 0.3216 0.6792 0.0000
2 H 0.5000 0.5000 0.0000
3 Cl 0.2210 0.2210 0.5581
4 Cl 0.6784 0.3208 0.0000
5 Cs 0.2501 0.7503 0.4996
6 Sm 0.0000 0.0000 0.0000
7 Cl 0.7797 0.7790 0.0002
8 Cl 0.7790 0.7790 0.4419
9 Cs 0.7499 0.2497 0.5004
10 Cl 0.2203 0.2210 0.9998

Properties
The electronic total energy comes out at -3.874 eV/atom. The value obtained for the theoretical density is 3.28 g/cm³. The value obtained for the total magnetization is 0.00 μB per cell.